This record from Alexandria describes a relaxed Ba4In2Cl crystal. The functional is GGA-PBE.

Cell: 4.840 7.916 8.768 Å, 74.57 73.98 72.20°
Atoms (fractional coordinates):
Ba 0.913 0.791 0.382
Ba 0.327 0.261 0.085
Ba 0.673 0.739 0.915
Cl 0.000 0.000 0.000
In 0.615 0.442 0.328
In 0.385 0.558 0.672
Ba 0.087 0.209 0.618

Summary:
SG: C2/m, No. 12
Calculated total energy (eV per atom): -2.910
Formation energy (no corrections) (eV/atom): -0.765



This record from Alexandria describes a relaxed Li4PuTa3N8 crystal. The functional is GGA-PBE.

Cell: 6.339 6.280 6.339 Å, 120.30 120.00 90.00°
Each line ends with the local moment (μB).
Atoms (fractional coordinates):
N 0.244 0.716 0.973  -0.07
Ta 0.500 0.500 0.000  0.06
N 0.756 0.284 0.513  -0.07
N 0.244 0.716 0.487  -0.07
Li 0.500 0.000 0.000  -0.01
N 0.261 0.282 0.521  0.00
Ta 0.500 0.500 0.500  0.06
Pu 0.000 0.500 0.000  3.20
Li 0.000 0.000 0.500  0.00
N 0.729 0.716 0.973  -0.07
N 0.739 0.718 0.479  0.00
Ta 0.000 0.500 0.500  0.06
Li 0.500 0.000 0.500  0.00
N 0.271 0.284 0.027  -0.07
Li 0.000 0.000 0.000  0.00
N 0.756 0.284 0.027  -0.07

Summary:
SG: R-3m, No. 166
Calculated total energy (eV per atom): -8.736
Formation energy (no corrections) (eV/atom): -0.977



This record from Alexandria describes a relaxed Dy4MgZn2Cu crystal. The functional is GGA-PBE.

Cell: 5.085 5.085 8.772 Å, 73.15 73.15 60.00°
Atoms (fractional coordinates):
Dy 0.383 0.383 0.852
Dy 0.869 0.869 0.392
Dy 0.617 0.617 0.148
Zn 0.259 0.259 0.224
Zn 0.741 0.741 0.776
Mg 0.000 0.000 0.000
Cu 0.500 0.500 0.500
Dy 0.131 0.131 0.608

Summary:
SG: R-3m, No. 166
DFT formation energy (meV per atom): -245.5
Calculated total energy (eV per atom): -3.576



This record from Alexandria describes a relaxed BaCr2Ag crystal. The functional is GGA-PBE.

Cell: 5.189 5.189 5.189 Å, 60.00 60.00 60.00°
Each line ends with the local moment (μB).
Atoms (fractional coordinates):
Ba 0.500 0.500 0.500  0.11
Cr 0.250 0.250 0.250  3.85
Cr 0.750 0.750 0.750  3.85
Ag 0.000 0.000 0.000  0.03

Summary:
SG: Fm-3m, No. 225
DFT formation energy (meV per atom): 903.7
Calculated total energy (eV per atom): -5.101